(1)
Below is a relaxed structure of Ba3Fe2NiO9, with properties calculated at the GGA+U level. Values from VASP.

Results
total magnetic moment = 8.07 μB/cell
DFT total energy = -5.966 eV/atom
SG = P-3m1

The structure in Quantum ESPRESSO input format:
```
&SYSTEM
  ibrav = 0, nat = 15, ntyp = 4
/
ATOMIC_SPECIES
Ba 137.33 Ba.upf
Fe 55.84 Fe.upf
Ni 58.69 Ni.upf
O 16.00 O.upf
ATOMIC_POSITIONS angstrom
Ba 2.998 -4.827 0.309
Ba 0.000 0.000 0.000
Ba 0.980 -2.578 2.952
Fe -0.158 -3.482 -0.225
Fe 4.136 -3.923 3.486
Ni 3.175 -1.353 0.537
O 3.150 -2.821 4.783
O 2.515 -4.973 3.115
O 3.678 -2.669 2.042
O 0.300 -4.737 1.219
O 1.463 -2.433 0.147
O 0.828 -4.584 -1.521
O -0.539 -0.156 2.794
O -0.647 -2.194 -1.701
O -1.186 -2.349 1.094
CELL_PARAMETERS angstrom
-1.078 -0.312 5.588
-1.295 -4.387 -3.401
6.351 -2.707 1.074
```



(2)
Below is a relaxed structure of Ba2Fe2NiO6, with properties calculated at the GGA+U level. Values from VASP.

Results
total magnetic moment = 10.00 μB/cell
DFT total energy = -5.927 eV/atom
SG = R-3m

The structure in Quantum ESPRESSO input format:
```
&SYSTEM
  ibrav = 0, nat = 11, ntyp = 4
/
ATOMIC_SPECIES
Ba 137.33 Ba.upf
Fe 55.84 Fe.upf
Ni 58.69 Ni.upf
O 16.00 O.upf
ATOMIC_POSITIONS angstrom
Ba 8.904 5.141 3.604
Ba 2.968 1.714 1.869
Fe 5.936 3.427 3.997
Fe 5.936 3.427 1.477
Ni 0.000 0.000 0.000
O 7.500 4.330 1.316
O 4.372 4.330 1.316
O 5.936 1.621 1.316
O 5.936 5.234 4.158
O 7.500 2.524 4.158
O 4.372 2.524 4.158
CELL_PARAMETERS angstrom
5.936 0.000 0.000
2.968 5.141 0.000
2.968 1.714 5.474
```



(3)
Below is a relaxed structure of Ba2FeNiO4, with properties calculated at the GGA+U level. Values from VASP.

Results
total magnetic moment = 7.96 μB/cell
DFT total energy = -5.581 eV/atom
SG = Fddd

The structure in Quantum ESPRESSO input format:
```
&SYSTEM
  ibrav = 0, nat = 16, ntyp = 4
/
ATOMIC_SPECIES
Ba 137.33 Ba.upf
Fe 55.84 Fe.upf
Ni 58.69 Ni.upf
O 16.00 O.upf
ATOMIC_POSITIONS angstrom
Ba 2.721 0.000 5.762
Ba 5.442 0.000 3.081
Ba 6.802 3.085 7.503
Ba 6.802 3.085 1.340
Fe 4.081 3.085 4.421
Fe 2.721 0.000 0.000
Ni 6.802 3.085 4.421
Ni 0.000 0.000 0.000
O 4.007 4.841 0.453
O 4.007 1.328 8.390
O 9.598 4.841 8.390
O 4.156 1.328 0.453
O 5.517 4.413 3.968
O 5.517 1.756 4.875
O 8.088 4.413 4.875
O 2.646 1.756 3.968
CELL_PARAMETERS angstrom
5.442 0.000 0.000
2.721 6.169 0.000
2.721 0.000 8.843
```



(4)
Below is a relaxed structure of Ba2Fe8Ni3Sb2O22, with properties calculated at the GGA+U level. Values from VASP.

Results
total magnetic moment = 45.87 μB/cell
DFT total energy = -6.258 eV/atom
SG = P-3m1

The structure in Quantum ESPRESSO input format:
```
&SYSTEM
  ibrav = 0, nat = 37, ntyp = 5
/
ATOMIC_SPECIES
Ba 137.33 Ba.upf
Fe 55.84 Fe.upf
Ni 58.69 Ni.upf
Sb 121.76 Sb.upf
O 16.00 O.upf
ATOMIC_POSITIONS angstrom
Ba 2.987 1.725 8.368
Ba 0.000 3.449 6.256
Fe 2.987 3.438 12.123
Fe 4.471 0.868 12.123
Fe 1.504 0.868 12.123
Fe 0.000 1.736 2.502
Fe -1.484 4.306 2.502
Fe 1.484 4.306 2.502
Fe 2.987 1.725 0.642
Fe 0.000 3.449 13.982
Ni 0.000 0.000 9.163
Ni 0.000 0.000 5.461
Ni 0.000 0.000 0.000
Sb 2.987 1.725 4.738
Sb 0.000 3.449 9.887
O 2.987 3.532 1.267
O 4.553 0.821 1.267
O 1.422 0.821 1.267
O 0.000 1.642 13.358
O -1.565 4.353 13.358
O 1.565 4.353 13.358
O 2.987 3.304 5.968
O 4.355 0.935 5.968
O 1.620 0.935 5.968
O 0.000 1.870 8.657
O -1.368 4.239 8.657
O 1.368 4.239 8.657
O 0.000 0.000 11.194
O 0.000 0.000 3.430
O 2.987 1.725 13.273
O 0.000 3.449 1.351
O 2.987 0.015 11.029
O 1.507 2.579 11.029
O 4.467 2.579 11.029
O 0.000 5.158 3.595
O 1.480 2.595 3.595
O -1.480 2.595 3.595
CELL_PARAMETERS angstrom
5.974 0.000 0.000
-2.987 5.174 0.000
0.000 0.000 14.624
```